No. 1
Density functional theory data (PBE) for an optimized crystal structure of CsLi2PuI6.

Cell: 10.8411 10.8411 9.1837 Å, 106.11 106.11 87.60°
Atoms (fractional coordinates):
Cs1 0.0861 0.9139 0.7500
Cs2 0.9139 0.0861 0.2500
Li1 0.2381 0.3789 0.9010
Li2 0.3789 0.2381 0.4010
Li3 0.6211 0.7619 0.5990
Li4 0.7619 0.6211 0.0990
Pu1 0.2827 0.7173 0.2500
Pu2 0.7173 0.2827 0.7500
I1 0.0003 0.2527 0.7136
I2 0.9997 0.7473 0.2864
I3 0.2042 0.6261 0.8896
I4 0.2527 0.0003 0.2136
I5 0.2774 0.4204 0.2258
I6 0.3739 0.7958 0.6104
I7 0.4204 0.2774 0.7258
I8 0.5796 0.7226 0.2742
I9 0.6261 0.2042 0.3896
I10 0.7226 0.5796 0.7742
I11 0.7473 0.9997 0.7864
I12 0.7958 0.3739 0.1104

Summary:
Symmetry: C2/c, No. 15
Magnetic moment: 10.00 μB/cell
Final energy: -4.023 eV/atom
Formation energy without anion corrections: -1.192 eV per atom


No. 2
Density functional theory data (PBE) for an optimized crystal structure of Tb6PrNd2Ho3.

Cell: 6.2106 6.2106 11.8713 Å, 94.99 94.99 119.98°
Atoms (fractional coordinates):
Tb1 0.0852 0.4187 0.7546
Tb2 0.2484 0.2484 0.2454
Tb3 0.4187 0.0852 0.7546
Tb4 0.5813 0.9148 0.2454
Tb5 0.7516 0.7516 0.7546
Tb6 0.9148 0.5813 0.2454
Pr1 0.0000 0.0000 0.5000
Nd1 0.3335 0.6665 0.5000
Nd2 0.6665 0.3335 0.5000
Ho1 0.1667 0.8333 0.0000
Ho2 0.5000 0.5000 0.0000
Ho3 0.8333 0.1667 0.0000

Summary:
Symmetry: C2/m, No. 12
Magnetic moment: 0.00 μB/cell
Formation energy: 0.017 eV per atom
Final energy: -4.635 eV/atom


No. 3
Density functional theory data (PBE) for an optimized crystal structure of Y2AlP.

Cell: 5.2372 5.2372 5.2372 Å, 127.10 127.10 78.10°
Atoms (fractional coordinates):
Y1 0.2500 0.7500 0.5000
Y2 0.7500 0.2500 0.5000
Al1 0.0000 0.0000 0.0000
P1 0.5000 0.5000 0.0000

Summary:
Symmetry: I4/mmm, No. 139
Magnetic moment: 0.00 μB/cell
Formation energy: -0.538 eV per atom
Final energy: -6.058 eV/atom


| no. | D(E_F) (states/eV/cell) |
| --- | --- |
| 1 | 26.2 |
| 2 | 15.7 |
| 3 | 3.7 |